Crystalline NbIBr at its relaxed geometry. Source: Alexandria, functional PBE.

Computed properties:
- total DFT energy (no corrections) (eV/cell) = -29.8
- DOS at the Fermi energy (states/eV per cell) = 1.43
- magnetization (μB/atom) = 0.000
- relative energy among the computed polymorphs (eV per atom) = 0.000
- ΔE_f (raw) (eV per formula unit) = -1.6

a b c (Å): 3.679 7.790 9.205
angles (deg): 50.93 101.81 76.68
Fractional coordinates of all 6 atoms:
Nb1 0.289 0.740 0.744
Nb2 0.110 0.436 0.081
I1 0.936 0.990 0.293
I2 0.463 0.186 0.532
Br1 0.452 0.720 0.042
Br2 0.948 0.455 0.782

***

Crystalline AgBi3Au at its relaxed geometry. Source: Alexandria, functional PBE.

Computed properties:
- formation energy from the elements (meV per atom) = 72.2
- total DFT energy (no corrections) (eV/cell) = -34.8
- DOS at the Fermi energy (states/eV per cell) = 3.70
- magnetization (μB/atom) = 0.000
- relative energy among the computed polymorphs (eV per atom) = 0.000

a b c (Å): 4.160 8.353 8.760
angles (deg): 90.00 90.00 114.95
Fractional coordinates of all 10 atoms:
Ag1 0.353 0.498 0.750
Ag2 0.647 0.502 0.250
Bi1 0.045 0.702 0.536
Bi2 0.955 0.298 0.464
Bi3 0.045 0.702 0.964
Bi4 0.955 0.298 0.036
Bi5 0.399 0.147 0.750
Bi6 0.601 0.853 0.250
Au1 0.685 0.872 0.750
Au2 0.315 0.128 0.250